Entry 1:
Here is a relaxed structure of CsCdHg from the Alexandria database. Energies are from GGA-PBE.

extended XYZ file:
```
3
Lattice="5.8758 0.0000 0.0000 2.9379 5.0886 0.0000 2.9379 1.6962 4.7976" Properties=species:S:1:pos:R:3 pbc="T T T"
Cs 0.0000 0.0000 0.0000
Hg 2.9379 1.6962 1.1994
Cd 5.8758 3.3924 2.3988
```

Energy of formation ... -0.030 eV/atom
VASP energy ... -0.72 eV per atom
ΔE to the lowest computed polymorph ... 0.113 eV per atom
SG ... No. 216


Entry 2:
Here is a relaxed structure of Cs3Cd8Hg3 from the Alexandria database. Energies are from GGA-PBE.

extended XYZ file:
```
14
Lattice="-1.7523 4.4968 -1.6407 0.0355 -0.8195 -10.2023 -10.0655 -1.4540 -1.1534" Properties=species:S:1:pos:R:3 pbc="T T T"
Cs -5.8912 1.1117 -6.4982
Cs -3.3467 3.1928 -3.5119
Cs -8.4357 -0.9695 -9.4845
Cd -7.9560 1.6117 -2.9225
Cd -3.8264 0.6116 -10.0740
Cd -2.1583 1.9759 -8.1162
Cd -9.6241 0.2474 -4.8802
Cd -6.3207 2.1423 -11.1332
Cd -5.4617 0.0810 -1.8632
Cd -10.5139 1.8789 -7.3768
Cd -1.2685 0.3444 -5.6196
Hg -0.8762 2.2484 -0.8204
Hg -2.7739 -0.9960 -7.6856
Hg -7.2562 -1.2775 -3.6701
```

Energy of formation ... -0.083 eV/atom
VASP energy ... -0.85 eV per atom
SG ... No. 71


Entry 3:
Here is a relaxed structure of CsCd3Hg from the Alexandria database. Energies are from GGA-PBE.

extended XYZ file:
```
5
Lattice="-1.6601 -0.6510 5.5010 -0.9560 -5.6229 -0.9540 5.4562 -1.1833 1.5066" Properties=species:S:1:pos:R:3 pbc="T T T"
Cs 1.4200 -3.7286 3.0268
Hg 0.0000 0.0000 0.0000
Cd -0.4780 -2.8114 -0.4770
Cd 2.7281 -0.5917 0.7533
Cd -0.8301 -0.3255 2.7505
```

Energy of formation ... 0.033 eV/atom
VASP energy ... -0.75 eV per atom
ΔE to the lowest computed polymorph ... 0.125 eV per atom
SG ... No. 221


Entry 4:
Here is a relaxed structure of Cs4Cd3Hg16 from the Alexandria database. Energies are from GGA-PBE.

extended XYZ file:
```
23
Lattice="-0.1171 -2.4658 7.1219 -2.3194 -6.7653 -2.3804 13.4113 -4.1678 -1.2224" Properties=species:S:1:pos:R:3 pbc="T T T"
Cs 10.7361 -4.5875 2.5771
Cs 1.4569 -4.1958 -1.4287
Cs 9.6350 -6.7373 -2.1741
Cs 2.5580 -2.0460 3.3225
Cd 5.5459 -5.4665 -1.8014
Cd 0.0000 0.0000 0.0000
Cd 6.6471 -3.3168 2.9498
Hg 9.6444 -2.9972 -0.8790
Hg -0.7050 -2.6711 1.3720
Hg 9.5845 -7.9727 1.3861
Hg -0.7544 -3.7099 4.3723
Hg 1.3902 -5.4262 2.1330
Hg -1.7315 -6.5600 3.3695
Hg 3.7669 -1.1706 -0.3433
Hg 6.4822 -9.2418 2.6793
Hg 4.4401 -5.2597 4.0245
Hg 7.5717 -5.1140 0.5591
Hg 3.4554 -7.1823 -0.2247
Hg -1.6822 -5.5212 0.3692
Hg 3.4030 -8.2849 2.9600
Hg 7.5193 -6.2166 3.7438
Hg 4.4925 -4.1570 0.8398
Hg 6.5346 -8.1392 -0.5054
```

Energy of formation ... -0.138 eV/atom
VASP energy ... -0.62 eV per atom
SG ... No. 123


Entry 5:
Here is a relaxed structure of CsCd3Hg from the Alexandria database. Energies are from GGA-PBE.

extended XYZ file:
```
10
Lattice="7.0060 0.0002 -0.0003 -0.0002 7.5187 0.0000 0.0003 -3.7596 6.5111" Properties=species:S:1:pos:R:3 pbc="T T T"
Cs 5.2540 3.7596 2.1707
Cs 1.7521 -0.0004 4.3404
Cd 5.2549 1.5738 5.2494
Cd 1.7513 3.7589 3.9880
Cd 1.7511 2.1855 1.2615
Cd 5.2548 0.0003 2.5229
Cd 1.7510 5.3332 1.2612
Cd 5.2551 -1.5739 5.2497
Hg 0.0000 0.0000 0.0000
Hg 3.5030 0.0001 -0.0001
```

Energy of formation ... 0.007 eV/atom
VASP energy ... -0.77 eV per atom
ΔE to the lowest computed polymorph ... 0.098 eV per atom
SG ... No. 194


Entry 6:
Here is a relaxed structure of CsCd2Hg2 from the Alexandria database. Energies are from GGA-PBE.

extended XYZ file:
```
10
Lattice="5.3720 0.0000 0.0000 0.0000 5.3720 0.0000 0.0000 0.0000 11.7176" Properties=species:S:1:pos:R:3 pbc="T T T"
Cs 2.6860 0.0000 2.9650
Cs 0.0000 2.6860 8.7527
Cd 0.0000 2.6860 4.4370
Cd 2.6860 0.0000 7.2807
Cd 2.6860 2.6860 0.0000
Cd 0.0000 0.0000 0.0000
Hg 2.6860 2.6860 5.8588
Hg 0.0000 0.0000 5.8588
Hg 0.0000 2.6860 1.4360
Hg 2.6860 0.0000 10.2817
```

Energy of formation ... -0.133 eV/atom
VASP energy ... -0.79 eV per atom
ΔE to the lowest computed polymorph ... 0.010 eV per atom
SG ... No. 129


Entry 7:
Here is a relaxed structure of Cs7CdHg2 from the Alexandria database. Energies are from GGA-PBE.

extended XYZ file:
```
20
Lattice="9.3527 0.0000 4.5611 3.1097 10.3911 5.4931 -1.0723 0.6075 14.0685" Properties=species:S:1:pos:R:3 pbc="T T T"
Cs 7.1680 6.1080 18.1576
Cs 8.3185 0.6087 9.4346
Cs 4.6045 10.0452 18.9634
Cs 4.0689 2.6174 10.0198
Cs 5.4958 3.0534 14.6179
Cs 9.2621 4.5459 11.9507
Cs 2.0664 2.8820 2.2563
Cs 9.3236 8.1167 21.8664
Cs 2.1280 6.4528 12.1719
Cs 5.8942 7.9452 9.5048
Cs 7.3212 8.3813 14.1029
Cs 6.7856 0.9534 5.1593
Cs 3.0715 10.3900 14.6880
Cs 4.2220 4.8907 5.9651
Cd 9.2519 3.0534 16.4496
Cd 2.1381 7.9452 7.6730
Hg 8.7278 9.8515 17.8050
Hg 7.6360 4.3522 7.9885
Hg 3.7541 6.6465 16.1342
Hg 2.6623 1.1471 6.3177
```

Energy of formation ... -0.091 eV/atom
VASP energy ... -0.84 eV per atom
SG ... No. 15


Entry 8:
Here is a relaxed structure of Cs2CdHg6 from the Alexandria database. Energies are from GGA-PBE.

extended XYZ file:
```
9
Lattice="-2.2247 -4.6018 5.8269 4.8244 -1.3823 5.9071 -1.4594 3.0213 6.9867" Properties=species:S:1:pos:R:3 pbc="T T T"
Cs 0.2853 -0.7411 4.6786
Cs 0.8550 -2.2217 14.0422
Cd 0.5701 -1.4814 9.3604
Hg -0.5843 1.0800 8.0054
Hg 2.9916 -1.4261 7.3954
Hg -1.8513 -1.5367 11.3254
Hg -1.0198 -3.2583 7.3498
Hg 2.1601 0.2954 11.3710
Hg 1.7246 -4.0428 10.7154
```

Energy of formation ... -0.181 eV/atom
VASP energy ... -0.67 eV per atom
ΔE to the lowest computed polymorph ... 0.053 eV per atom
SG ... No. 225


Entry 9:
Here is a relaxed structure of CsCd5Hg2 from the Alexandria database. Energies are from GGA-PBE.

extended XYZ file:
```
8
Lattice="0.5662 3.8588 2.6844 3.2343 -2.1183 6.5381 7.4127 1.6369 0.2589" Properties=species:S:1:pos:R:3 pbc="T T T"
Cs 0.0000 0.0000 0.0000
Cd 5.3235 -0.2407 3.3985
Cd 3.4601 1.5991 5.3223
Cd 7.7532 1.7783 4.1592
Cd 6.2279 0.4075 6.4514
Cd 4.9854 2.9699 3.0301
Hg 8.4707 2.5069 7.1359
Hg 2.7426 0.8705 2.3456
```

Energy of formation ... -0.055 eV/atom
VASP energy ... -0.81 eV per atom
SG ... No. 71


Entry 10:
Here is a relaxed structure of Cs3Cd2Hg4 from the Alexandria database. Energies are from GGA-PBE.

extended XYZ file:
```
9
Lattice="-3.8430 -3.6681 1.2035 2.1849 -0.5676 -7.0806 6.9156 -5.2295 6.1440" Properties=species:S:1:pos:R:3 pbc="T T T"
Cs 2.8888 -5.9892 3.2975
Cs 0.0000 0.0000 0.0000
Cs 2.3688 -3.4760 -3.0306
Cd 0.4782 -4.4310 0.3494
Cd 4.7793 -5.0342 -0.0825
Hg -1.3004 -3.3245 -1.9574
Hg 6.5579 -6.1407 2.2243
Hg 2.3278 -6.7355 -0.7683
Hg 2.9297 -2.7297 1.0352
```

Energy of formation ... -0.193 eV/atom
VASP energy ... -0.82 eV per atom
ΔE to the lowest computed polymorph ... 0.000 eV per atom
SG ... No. 12


Entry 11:
Here is a relaxed structure of CsCd2Hg8 from the Alexandria database. Energies are from GGA-PBE.

extended XYZ file:
```
11
Lattice="-4.0728 -2.9924 -3.7892 3.2656 1.9442 -5.0454 6.4793 -8.3801 4.9186" Properties=species:S:1:pos:R:3 pbc="T T T"
Cs -0.4036 -0.5241 -4.4173
Cd 4.6707 -3.4800 -2.2720
Cd 1.0015 -5.9483 -1.6439
Hg 1.1659 -3.3876 -6.5021
Hg 4.5063 -6.0407 2.5862
Hg 4.0986 -6.5702 -1.8761
Hg 2.4491 -7.5522 0.6723
Hg 1.5735 -2.8582 -2.0398
Hg 3.2230 -1.8761 -4.5882
Hg -0.4836 -4.3696 -3.9537
Hg 6.1558 -5.0587 0.0378
```

Energy of formation ... -0.035 eV/atom
VASP energy ... -0.50 eV per atom
SG ... No. 139


Entry 12:
Here is a relaxed structure of Cs5Cd3Hg12 from the Alexandria database. Energies are from GGA-PBE.

extended XYZ file:
```
80
Lattice="-2.7030 4.5791 -16.5468 -5.9527 -16.1213 2.5963 -8.3717 11.0288 10.5048" Properties=species:S:1:pos:R:3 pbc="T T T"
Cd -5.3060 -1.2326 -10.1234
Cd -7.8761 -6.7057 -11.2181
Cd -10.7105 -3.4808 2.3077
Cd -4.5592 3.2654 0.1271
Cd -5.2022 4.7487 -11.5277
Cd -6.8270 -5.6015 -1.9562
Cd -10.2005 5.0880 -1.4895
Cd -11.8253 -5.2622 8.0820
Cd -12.4682 -3.7788 -3.5729
Cd -6.3170 2.9674 -5.7534
Cd -9.1513 6.1922 7.7724
Cd -11.7215 0.7191 6.6777
Cs -4.6631 -2.7159 1.5315
Cs -2.9763 -8.0606 1.2981
Cs 0.0000 0.0000 0.0000
Cs -3.5483 -0.9346 -4.2429
Cs -5.5374 7.8039 -3.0210
Cs -4.3279 -5.7711 -6.9753
Cs -7.9418 -7.3828 3.8182
Cs -10.0966 11.0693 -2.8939
Cs -8.8871 -2.5057 -6.8481
Cs -8.0365 7.9736 1.9981
Cs -8.9909 -8.4870 -5.4438
Cs -8.5137 -0.2567 -1.7229
Cs -1.3515 2.2895 -8.2734
Cs -4.1859 5.5144 5.2524
Cs -8.1404 1.9923 3.4024
Cs -6.9308 -11.5828 -0.5519
Cs -7.1622 -2.5463 6.5505
Cs -9.0857 6.8694 -7.2639
Cs -13.4792 0.4211 0.7972
Cs -12.3644 2.2025 -4.9772
Hg -3.7919 2.0669 -10.8261
Hg -8.3261 -3.1236 0.3429
Hg -6.6274 1.3482 -11.2489
Hg -4.3712 0.5253 -7.7341
Hg -11.3878 -2.2261 -1.1041
Hg -6.8782 -3.2170 -11.9298
Hg -8.9021 -6.0224 0.3219
Hg -6.8399 -12.7396 3.1428
Hg -12.1890 -4.8687 -0.0505
Hg -6.7021 -4.5564 -9.3011
Hg -7.3027 0.8851 -7.8427
Hg -8.8402 -10.2329 -10.6683
Hg -9.8957 -4.6360 5.7245
Hg -4.3667 -4.6670 -3.6136
Hg -8.7942 -11.0766 4.6093
Hg -6.6318 5.4678 -0.5989
Hg -3.1240 0.8364 1.4361
Hg -5.3084 -7.9555 -4.3698
Hg -9.8816 -7.9091 -9.1680
Hg -3.2778 -5.3455 -0.9511
Hg -12.6021 -4.5325 4.5412
Hg -8.8107 -3.5002 -3.1062
Hg -12.7330 -2.8513 -7.1425
Hg -11.7990 7.7029 -2.0189
Hg -8.2168 2.9867 -0.3395
Hg -4.2945 2.3379 3.6968
Hg -5.2284 -8.2163 -1.4268
Hg -7.1459 7.3956 5.7223
Hg -4.4253 4.0190 -7.9870
Hg -13.7497 4.8321 -2.4947
Hg -11.7190 7.4421 0.9241
Hg -10.3957 -5.9812 -2.8468
Hg -13.9034 -1.3499 -4.8818
Hg -8.2333 10.5632 -8.0550
Hg -7.1317 4.1226 -9.1702
Hg -8.1873 9.7194 7.2225
Hg -12.6607 4.1535 0.1678
Hg -4.8385 4.3553 -3.3952
Hg -10.3254 4.0430 5.8553
Hg -9.7247 -1.3985 4.3970
Hg -10.1875 12.2262 -6.5885
Hg -8.1253 5.5090 -3.7676
Hg -12.6563 -1.0388 4.2883
Hg -10.1493 2.7036 8.4841
Hg -5.6397 1.7127 -2.3416
Hg -10.4001 -1.8616 7.8032
Hg -8.7013 2.6102 -3.7886
Hg -13.2355 -2.5804 7.3804
```

Energy of formation ... -0.066 eV/atom
VASP energy ... -0.60 eV per atom
SG ... No. 230